(1)
A plane-wave DFT calculation with PBE was carried out for a relaxed La2CoAs2 crystal.

abc: 8.1429 8.1429 3.9707
angles: 90.00 90.00 90.00
Space group P4/mbm (No. 127)
One atom of each set of equivalent atoms:
La1 0.1485 0.3515 0.0000 x4
Co1 0.0000 0.0000 0.0000 x2
As1 0.1619 0.6619 0.5000 x4

**Energy of formation from the pure elements**: -0.408 eV per atom
**Volume**: 263 Å³/cell



(2)
A plane-wave DFT calculation with PBE was carried out for a relaxed Ru2PtBr crystal.

abc: 3.1989 3.1989 6.5100
angles: 90.00 90.00 90.00
Space group P4/mmm (No. 123)
One atom of each set of equivalent atoms:
Ru1 0.0000 0.0000 0.2111 x2
Pt1 0.5000 0.5000 0.0000 x1
Br1 0.5000 0.5000 0.5000 x1

**E_form (uncorrected)**: 664 meV per atom
**Volume**: 67 Å³/cell



(3)
A plane-wave DFT calculation with PBE was carried out for a relaxed La15Pr2Y2 crystal.

abc: 11.2959 11.2959 18.8917
angles: 90.00 90.00 120.00
Space group R-3m (No. 166, hexagonal axes)
One atom of each set of equivalent atoms:
La1 0.0000 0.2964 0.0000 x18
La2 0.0000 0.5000 0.5000 x9
La3 0.0378 0.5189 0.1286 x18
Pr1 0.0000 0.0000 0.3008 x6
Y1 0.0000 0.0000 0.0893 x6

**Energy of formation from the pure elements**: 0.203 eV per atom
**Volume**: 2088 Å³/cell



no.,DOS(E_F) (states/eV/cell)
1,16.11
2,4.13
3,98.84